Compound: Rb3CaP2O8
Source: Alexandria
Functional: PBE
Structure: relaxed

```
data_Rb3CaP2O8
_symmetry_space_group_name_H-M 'P -3 m 1'
_symmetry_Int_Tables_number 164
_symmetry_space_group_name_Hall '-P 3 2"'
_cell_length_a 5.9017
_cell_length_b 5.9017
_cell_length_c 7.9122
_cell_angle_alpha 90.00
_cell_angle_beta 90.00
_cell_angle_gamma 120.00
loop_
_atom_site_label
_atom_site_fract_x
_atom_site_fract_y
_atom_site_fract_z
_atom_site_occupancy
Rb1 0.0000 0.0000 0.0000 1
Rb2 0.3333 0.6667 0.7145 1
Ca1 0.0000 0.0000 0.5000 1
P1 0.3333 0.6667 0.2646 1
O1 0.1893 0.3785 0.3291 1
O2 0.3333 0.6667 0.0690 1
```

Computed properties:
- Fermi-level density of states: 0.69 states/eV per atom
- Total magnetization: 1.1 μB/cell
- Volume: 17.047 A^3/atom
- Calculated density: 3.38 Mg/m³
- ΔE_f (raw): -2.331 eV per atom



Compound: RbCaP2O
Source: Alexandria
Functional: PBE
Structure: relaxed

```
data_RbCaP2O
_symmetry_space_group_name_H-M 'P 4/m m m'
_symmetry_Int_Tables_number 123
_symmetry_space_group_name_Hall '-P 4 2'
_cell_length_a 5.484
_cell_length_b 5.484
_cell_length_c 4.369
_cell_angle_alpha 90.00
_cell_angle_beta 90.00
_cell_angle_gamma 90.00
loop_
_atom_site_label
_atom_site_fract_x
_atom_site_fract_y
_atom_site_fract_z
_atom_site_occupancy
Rb1 0.000 0.000 0.000 1
Ca1 0.500 0.500 0.500 1
P1 0.000 0.500 0.000 1
O1 0.000 0.000 0.500 1
```

Computed properties:
- Fermi-level density of states: 0.54 states/eV per atom
- Total magnetization: 1.4 μB/cell
- Volume: 26.279 A^3/atom
- Calculated density: 2.57 Mg/m³
- ΔE_f (raw): 0.843 eV per atom



Compound: RbCaPO4
Source: Alexandria
Functional: PBE
Structure: relaxed

```
data_RbCaPO4
_symmetry_space_group_name_H-M 'P 1 21/m 1'
_symmetry_Int_Tables_number 11
_symmetry_space_group_name_Hall '-P 2yb'
_cell_length_a 5.634
_cell_length_b 5.767
_cell_length_c 7.517
_cell_angle_alpha 90.00
_cell_angle_beta 106.80
_cell_angle_gamma 90.00
loop_
_atom_site_label
_atom_site_fract_x
_atom_site_fract_y
_atom_site_fract_z
_atom_site_occupancy
Rb1 0.197 0.250 0.430 1
Ca1 0.281 0.250 0.961 1
P1 0.265 0.750 0.163 1
O1 0.095 0.750 0.958 1
O2 0.099 0.750 0.295 1
O3 0.441 0.534 0.192 1
```

Computed properties:
- Fermi-level density of states: 0.00 states/eV per atom
- Total magnetization: 0.0 μB/cell
- Volume: 16.701 A^3/atom
- Calculated density: 3.13 Mg/m³
- ΔE_f (raw): -2.628 eV per atom



Compound: RbCaP2O
Source: Alexandria
Functional: PBE
Structure: relaxed

```
data_RbCaP2O
_symmetry_space_group_name_H-M 'P 4/m m m'
_symmetry_Int_Tables_number 123
_symmetry_space_group_name_Hall '-P 4 2'
_cell_length_a 5.895
_cell_length_b 5.895
_cell_length_c 4.443
_cell_angle_alpha 90.00
_cell_angle_beta 90.00
_cell_angle_gamma 90.00
loop_
_atom_site_label
_atom_site_fract_x
_atom_site_fract_y
_atom_site_fract_z
_atom_site_occupancy
Rb1 0.000 0.000 0.000 1
Ca1 0.500 0.500 0.500 1
P1 0.000 0.500 0.500 1
O1 0.500 0.500 0.000 1
```

Computed properties:
- Fermi-level density of states: 0.97 states/eV per atom
- Total magnetization: 5.0 μB/cell
- Volume: 30.878 A^3/atom
- Calculated density: 2.19 Mg/m³
- ΔE_f (raw): 0.059 eV per atom



Compound: CaRePO2
Source: Alexandria
Functional: PBE
Structure: relaxed

```
data_CaRePO2
_symmetry_space_group_name_H-M 'P 4/m m m'
_symmetry_Int_Tables_number 123
_symmetry_space_group_name_Hall '-P 4 2'
_cell_length_a 4.016
_cell_length_b 4.016
_cell_length_c 6.060
_cell_angle_alpha 90.00
_cell_angle_beta 90.00
_cell_angle_gamma 90.00
loop_
_atom_site_label
_atom_site_fract_x
_atom_site_fract_y
_atom_site_fract_z
_atom_site_occupancy
Ca1 0.000 0.000 0.000 1
Re1 0.500 0.500 0.500 1
P1 0.000 0.000 0.500 1
O1 0.000 0.500 0.000 1
```

Computed properties:
- Fermi-level density of states: 0.43 states/eV per atom
- Total magnetization: 5.0 μB/cell
- Volume: 19.543 A^3/atom
- Calculated density: 4.92 Mg/m³
- ΔE_f (raw): 0.630 eV per atom



Compound: CaRePO2
Source: Alexandria
Functional: PBE
Structure: relaxed

```
data_CaRePO2
_symmetry_space_group_name_H-M 'P 4/m m m'
_symmetry_Int_Tables_number 123
_symmetry_space_group_name_Hall '-P 4 2'
_cell_length_a 3.906
_cell_length_b 3.906
_cell_length_c 5.027
_cell_angle_alpha 90.00
_cell_angle_beta 90.00
_cell_angle_gamma 90.00
loop_
_atom_site_label
_atom_site_fract_x
_atom_site_fract_y
_atom_site_fract_z
_atom_site_occupancy
Ca1 0.000 0.000 0.000 1
Re1 0.500 0.500 0.500 1
P1 0.500 0.500 0.000 1
O1 0.000 0.500 0.500 1
```

Computed properties:
- Fermi-level density of states: 0.46 states/eV per atom
- Total magnetization: 0.0 μB/cell
- Volume: 15.337 A^3/atom
- Calculated density: 6.26 Mg/m³
- ΔE_f (raw): -1.217 eV per atom



Compound: CaPRhO2
Source: Alexandria
Functional: PBE
Structure: relaxed

```
data_CaPRhO2
_symmetry_space_group_name_H-M 'P 4/m m m'
_symmetry_Int_Tables_number 123
_symmetry_space_group_name_Hall '-P 4 2'
_cell_length_a 4.010
_cell_length_b 4.010
_cell_length_c 6.213
_cell_angle_alpha 90.00
_cell_angle_beta 90.00
_cell_angle_gamma 90.00
loop_
_atom_site_label
_atom_site_fract_x
_atom_site_fract_y
_atom_site_fract_z
_atom_site_occupancy
Ca1 0.000 0.000 0.000 1
P1 0.000 0.000 0.500 1
Rh1 0.500 0.500 0.500 1
O1 0.000 0.500 0.000 1
```

Computed properties:
- Fermi-level density of states: 1.31 states/eV per atom
- Total magnetization: 3.1 μB/cell
- Volume: 19.983 A^3/atom
- Calculated density: 3.42 Mg/m³
- ΔE_f (raw): 0.354 eV per atom



Compound: CaP2RhO8
Source: Alexandria
Functional: PBE
Structure: relaxed

```
data_CaP2RhO8
_symmetry_space_group_name_H-M 'P -3'
_symmetry_Int_Tables_number 147
_symmetry_space_group_name_Hall '-P 3'
_cell_length_a 4.8391
_cell_length_b 4.8391
_cell_length_c 7.1802
_cell_angle_alpha 90.00
_cell_angle_beta 90.00
_cell_angle_gamma 120.00
loop_
_atom_site_label
_atom_site_fract_x
_atom_site_fract_y
_atom_site_fract_z
_atom_site_occupancy
Ca1 0.0000 0.0000 0.0000 1
P1 0.3333 0.6667 0.7429 1
Rh1 0.0000 0.0000 0.5000 1
O1 0.0489 0.3403 0.6770 1
O2 0.3333 0.6667 0.9551 1
```

Computed properties:
- Fermi-level density of states: 0.44 states/eV per atom
- Total magnetization: 1.1 μB/cell
- Volume: 12.134 A^3/atom
- Calculated density: 3.80 Mg/m³
- ΔE_f (raw): -1.956 eV per atom



Compound: CaPRhO2
Source: Alexandria
Functional: PBE
Structure: relaxed

```
data_CaPRhO2
_symmetry_space_group_name_H-M 'P 4/m m m'
_symmetry_Int_Tables_number 123
_symmetry_space_group_name_Hall '-P 4 2'
_cell_length_a 4.008
_cell_length_b 4.008
_cell_length_c 4.833
_cell_angle_alpha 90.00
_cell_angle_beta 90.00
_cell_angle_gamma 90.00
loop_
_atom_site_label
_atom_site_fract_x
_atom_site_fract_y
_atom_site_fract_z
_atom_site_occupancy
Ca1 0.000 0.000 0.000 1
P1 0.500 0.500 0.000 1
Rh1 0.500 0.500 0.500 1
O1 0.000 0.500 0.500 1
```

Computed properties:
- Fermi-level density of states: 0.87 states/eV per atom
- Total magnetization: 1.8 μB/cell
- Volume: 15.526 A^3/atom
- Calculated density: 4.41 Mg/m³
- ΔE_f (raw): -0.655 eV per atom



Compound: CaPRuO2
Source: Alexandria
Functional: PBE
Structure: relaxed

```
data_CaPRuO2
_symmetry_space_group_name_H-M 'P 4/m m m'
_symmetry_Int_Tables_number 123
_symmetry_space_group_name_Hall '-P 4 2'
_cell_length_a 4.060
_cell_length_b 4.060
_cell_length_c 5.866
_cell_angle_alpha 90.00
_cell_angle_beta 90.00
_cell_angle_gamma 90.00
loop_
_atom_site_label
_atom_site_fract_x
_atom_site_fract_y
_atom_site_fract_z
_atom_site_occupancy
Ca1 0.000 0.000 0.000 1
P1 0.000 0.000 0.500 1
Ru1 0.500 0.500 0.500 1
O1 0.000 0.500 0.000 1
```

Computed properties:
- Fermi-level density of states: 1.25 states/eV per atom
- Total magnetization: 5.1 μB/cell
- Volume: 19.340 A^3/atom
- Calculated density: 3.51 Mg/m³
- ΔE_f (raw): 0.482 eV per atom



Compound: CaPRuO2
Source: Alexandria
Functional: PBE
Structure: relaxed

```
data_CaPRuO2
_symmetry_space_group_name_H-M 'P 4/m m m'
_symmetry_Int_Tables_number 123
_symmetry_space_group_name_Hall '-P 4 2'
_cell_length_a 3.934
_cell_length_b 3.934
_cell_length_c 4.940
_cell_angle_alpha 90.00
_cell_angle_beta 90.00
_cell_angle_gamma 90.00
loop_
_atom_site_label
_atom_site_fract_x
_atom_site_fract_y
_atom_site_fract_z
_atom_site_occupancy
Ca1 0.000 0.000 0.000 1
P1 0.500 0.500 0.000 1
Ru1 0.500 0.500 0.500 1
O1 0.000 0.500 0.500 1
```

Computed properties:
- Fermi-level density of states: 0.69 states/eV per atom
- Total magnetization: 1.4 μB/cell
- Volume: 15.289 A^3/atom
- Calculated density: 4.43 Mg/m³
- ΔE_f (raw): -0.844 eV per atom



Compound: CaP2RuO8
Source: Alexandria
Functional: PBE
Structure: relaxed

```
data_CaP2RuO8
_symmetry_space_group_name_H-M 'P -3 m 1'
_symmetry_Int_Tables_number 164
_symmetry_space_group_name_Hall '-P 3 2"'
_cell_length_a 5.1720
_cell_length_b 5.1720
_cell_length_c 6.6972
_cell_angle_alpha 90.00
_cell_angle_beta 90.00
_cell_angle_gamma 120.00
loop_
_atom_site_label
_atom_site_fract_x
_atom_site_fract_y
_atom_site_fract_z
_atom_site_occupancy
Ca1 0.0000 0.0000 0.0000 1
P1 0.3333 0.6667 0.2330 1
Ru1 0.0000 0.0000 0.5000 1
O1 0.1687 0.3374 0.3070 1
O2 0.3333 0.6667 0.0075 1
```

Computed properties:
- Fermi-level density of states: 0.23 states/eV per atom
- Total magnetization: 2.0 μB/cell
- Volume: 12.929 A^3/atom
- Calculated density: 3.54 Mg/m³
- ΔE_f (raw): -2.003 eV per atom